1.
# Tb2Pm3Sc PBE relaxed
data_Tb2Pm3Sc
_chemical_formula_sum 'Tb2 Pm3 Sc1'
_cell_length_a 3.4729
_cell_length_b 5.8030
_cell_length_c 10.3132
_cell_angle_alpha 106.34
_cell_angle_beta 99.69
_cell_angle_gamma 90.00
_symmetry_space_group_name_H-M 'P 1'
_symmetry_Int_Tables_number 1
_symmetry_space_group_name_Hall 'P 1'
loop_
_atom_site_label
_atom_site_type_symbol
_atom_site_fract_x
_atom_site_fract_y
_atom_site_fract_z
Tb1 Tb 0.6366 0.6366 0.2733
Tb2 Tb 0.3634 0.3634 0.7267
Pm1 Pm 0.0000 0.5000 0.0000
Pm2 Pm 0.8119 0.8119 0.6238
Pm3 Pm 0.1881 0.1881 0.3762
Sc1 Sc 0.0000 0.0000 0.0000
# Crystal system   orthorhombic
# Magnetic moment   0.00 μB/f.u.
# Formation energy   382 meV/atom
# ΔE to the lowest computed polymorph   2.08 eV/f.u.
# Density   6.75 g/cm3

***

2.
# TbPm7Sc3 PBE relaxed
data_TbPm7Sc3
_chemical_formula_sum 'Tb1 Pm7 Sc3'
_cell_length_a 5.8159
_cell_length_b 8.3356
_cell_length_c 8.3356
_cell_angle_alpha 85.62
_cell_angle_beta 110.43
_cell_angle_gamma 110.43
_symmetry_space_group_name_H-M 'P 1'
_symmetry_Int_Tables_number 1
_symmetry_space_group_name_Hall 'P 1'
loop_
_atom_site_label
_atom_site_type_symbol
_atom_site_fract_x
_atom_site_fract_y
_atom_site_fract_z
Tb1 Tb 0.5000 0.5000 0.5000
Pm1 Pm 0.1969 0.1965 0.1965
Pm2 Pm 0.3115 0.0212 0.6018
Pm3 Pm 0.6885 0.3982 0.9788
Pm4 Pm 0.3115 0.6018 0.0212
Pm5 Pm 0.0000 0.5000 0.5000
Pm6 Pm 0.6885 0.9788 0.3982
Pm7 Pm 0.8031 0.8036 0.8036
Sc1 Sc 0.0000 0.7894 0.2106
Sc2 Sc 0.5000 0.0000 0.0000
Sc3 Sc 0.0000 0.2106 0.7894
# Crystal system   orthorhombic
# Magnetic moment   0.01 μB/f.u.
# Formation energy   237 meV/atom
# Density   6.13 g/cm3

***

3.
# TbPmSc3 PBE relaxed
data_TbPmSc3
_chemical_formula_sum 'Tb2 Pm2 Sc6'
_cell_length_a 5.1854
_cell_length_b 6.6978
_cell_length_c 9.0825
_cell_angle_alpha 111.66
_cell_angle_beta 106.59
_cell_angle_gamma 90.00
_symmetry_space_group_name_H-M 'P 1'
_symmetry_Int_Tables_number 1
_symmetry_space_group_name_Hall 'P 1'
loop_
_atom_site_label
_atom_site_type_symbol
_atom_site_fract_x
_atom_site_fract_y
_atom_site_fract_z
Tb1 Tb 0.5001 0.2588 0.5002
Tb2 Tb 0.4999 0.7412 0.4998
Pm1 Pm 0.1136 0.1133 0.7271
Pm2 Pm 0.8864 0.8867 0.2729
Sc1 Sc 0.2979 0.0507 0.0957
Sc2 Sc 0.7022 0.4547 0.9044
Sc3 Sc 0.1173 0.6171 0.7347
Sc4 Sc 0.8827 0.3829 0.2653
Sc5 Sc 0.7021 0.9493 0.9043
Sc6 Sc 0.2978 0.5453 0.0956
# Crystal system   orthorhombic
# Magnetic moment   0.00 μB/f.u.
# Formation energy   59 meV/atom
# ΔE to the lowest computed polymorph   0.00 eV/f.u.
# Density   5.22 g/cm3

***

4.
# Tb4Pm3Sc5 PBE relaxed
data_Tb4Pm3Sc5
_chemical_formula_sum 'Tb4 Pm3 Sc5'
_cell_length_a 5.7346
_cell_length_b 8.2256
_cell_length_c 9.1163
_cell_angle_alpha 101.53
_cell_angle_beta 71.67
_cell_angle_gamma 69.60
_symmetry_space_group_name_H-M 'P 1'
_symmetry_Int_Tables_number 1
_symmetry_space_group_name_Hall 'P 1'
loop_
_atom_site_label
_atom_site_type_symbol
_atom_site_fract_x
_atom_site_fract_y
_atom_site_fract_z
Tb1 Tb 0.8587 0.2278 0.0548
Tb2 Tb 0.1762 0.0300 0.6176
Tb3 Tb 0.8238 0.9700 0.3824
Tb4 Tb 0.1413 0.7722 0.9452
Pm1 Pm 0.5349 0.6955 0.2348
Pm2 Pm 0.0000 0.5000 0.5000
Pm3 Pm 0.4651 0.3045 0.7652
Sc1 Sc 0.6380 0.9219 0.8021
Sc2 Sc 0.5000 0.5000 0.5000
Sc3 Sc 0.1924 0.4732 0.1421
Sc4 Sc 0.8076 0.5268 0.8579
Sc5 Sc 0.3620 0.0781 0.1979
# Crystal system   monoclinic
# Magnetic moment   0.05 μB/f.u.
# Formation energy   238 meV/atom
# Density   6.00 g/cm3

***

5.
# Tb2PmSc PBE relaxed
data_Tb2PmSc
_chemical_formula_sum 'Tb2 Pm1 Sc1'
_cell_length_a 3.5277
_cell_length_b 3.5277
_cell_length_c 9.8470
_cell_angle_alpha 90.00
_cell_angle_beta 90.00
_cell_angle_gamma 90.00
_symmetry_space_group_name_H-M 'P 1'
_symmetry_Int_Tables_number 1
_symmetry_space_group_name_Hall 'P 1'
loop_
_atom_site_label
_atom_site_type_symbol
_atom_site_fract_x
_atom_site_fract_y
_atom_site_fract_z
Sc1 Sc 0.5000 0.5000 0.0000
Tb1 Tb 0.0000 0.0000 0.7645
Tb2 Tb 0.0000 0.0000 0.2355
Pm1 Pm 0.5000 0.5000 0.5000
# Crystal system   tetragonal
# Magnetic moment   0.00 μB/f.u.
# Formation energy   44 meV/atom
# ΔE to the lowest computed polymorph   0.03 eV/f.u.
# Density   6.88 g/cm3

***

6.
# TbPm2Sc6 PBE relaxed
data_TbPm2Sc6
_chemical_formula_sum 'Tb1 Pm2 Sc6'
_cell_length_a 3.2928
_cell_length_b 9.8501
_cell_length_c 9.8501
_cell_angle_alpha 56.24
_cell_angle_beta 70.43
_cell_angle_gamma 70.43
_symmetry_space_group_name_H-M 'P 1'
_symmetry_Int_Tables_number 1
_symmetry_space_group_name_Hall 'P 1'
loop_
_atom_site_label
_atom_site_type_symbol
_atom_site_fract_x
_atom_site_fract_y
_atom_site_fract_z
Tb1 Tb 0.9999 0.0001 0.0001
Pm1 Pm 0.3334 0.3333 0.3333
Pm2 Pm 0.6667 0.6667 0.6667
Sc1 Sc 0.1685 0.0000 0.3320
Sc2 Sc 0.8311 0.0000 0.6681
Sc3 Sc 0.8311 0.6681 0.0000
Sc4 Sc 0.5004 0.3320 0.6680
Sc5 Sc 0.5004 0.6680 0.3320
Sc6 Sc 0.1685 0.3320 0.0000
# Crystal system   hexagonal
# Magnetic moment   0.00 μB/f.u.
# Formation energy   72 meV/atom
# Density   4.86 g/cm3

***

7.
# Tb12Pm5Sc2 PBE relaxed
data_Tb12Pm5Sc2
_chemical_formula_sum 'Tb12 Pm5 Sc2'
_cell_length_a 11.5782
_cell_length_b 11.5782
_cell_length_c 8.6439
_cell_angle_alpha 69.74
_cell_angle_beta 69.74
_cell_angle_gamma 35.09
_symmetry_space_group_name_H-M 'P 1'
_symmetry_Int_Tables_number 1
_symmetry_space_group_name_Hall 'P 1'
loop_
_atom_site_label
_atom_site_type_symbol
_atom_site_fract_x
_atom_site_fract_y
_atom_site_fract_z
Tb1 Tb 0.8628 0.8628 0.0486
Tb2 Tb 0.9491 0.4559 0.2071
Tb3 Tb 0.4559 0.9491 0.2071
Tb4 Tb 0.8462 0.3619 0.6227
Tb5 Tb 0.3619 0.8462 0.6227
Tb6 Tb 0.5487 0.5487 0.3051
Tb7 Tb 0.4513 0.4513 0.6949
Tb8 Tb 0.1538 0.6381 0.3773
Tb9 Tb 0.6381 0.1538 0.3773
Tb10 Tb 0.0509 0.5441 0.7929
Tb11 Tb 0.5441 0.0509 0.7929
Tb12 Tb 0.1372 0.1372 0.9514
Pm1 Pm 0.7518 0.7518 0.4900
Pm2 Pm 0.6479 0.6479 0.9092
Pm3 Pm 0.0000 0.0000 0.5000
Pm4 Pm 0.3521 0.3521 0.0908
Pm5 Pm 0.2482 0.2482 0.5100
Sc1 Sc 0.2630 0.7370 0.0000
Sc2 Sc 0.7370 0.2630 0.0000
# Crystal system   monoclinic
# Magnetic moment   0.00 μB/f.u.
# Formation energy   157 meV/atom
# ΔE to the lowest computed polymorph   0.00 eV/f.u.
# Density   7.28 g/cm3

***

8.
# Tb6Pm5Sc2 PBE relaxed
data_Tb6Pm5Sc2
_chemical_formula_sum 'Tb12 Pm10 Sc4'
_cell_length_a 3.5994
_cell_length_b 11.3530
_cell_length_c 20.4483
_cell_angle_alpha 90.00
_cell_angle_beta 90.00
_cell_angle_gamma 90.00
_symmetry_space_group_name_H-M 'P 1'
_symmetry_Int_Tables_number 1
_symmetry_space_group_name_Hall 'P 1'
loop_
_atom_site_label
_atom_site_type_symbol
_atom_site_fract_x
_atom_site_fract_y
_atom_site_fract_z
Tb1 Tb 0.0000 0.1681 0.3828
Tb2 Tb 0.0000 0.8319 0.6172
Tb3 Tb 0.0000 0.6681 0.1172
Tb4 Tb 0.0000 0.3319 0.8828
Tb5 Tb 0.5000 0.4200 0.1549
Tb6 Tb 0.5000 0.5800 0.8451
Tb7 Tb 0.5000 0.9200 0.3451
Tb8 Tb 0.5000 0.0800 0.6549
Tb9 Tb 0.0000 0.7211 0.4450
Tb10 Tb 0.0000 0.2789 0.5550
Tb11 Tb 0.0000 0.2211 0.0550
Tb12 Tb 0.0000 0.7789 0.9450
Pm1 Pm 0.5000 0.4392 0.4223
Pm2 Pm 0.5000 0.5608 0.5777
Pm3 Pm 0.5000 0.9392 0.0777
Pm4 Pm 0.5000 0.0608 0.9223
Pm5 Pm 0.5000 0.6479 0.2779
Pm6 Pm 0.5000 0.3521 0.7221
Pm7 Pm 0.5000 0.1479 0.2221
Pm8 Pm 0.5000 0.8521 0.7779
Pm9 Pm 0.5000 0.5000 0.0000
Pm10 Pm 0.5000 0.0000 0.5000
Sc1 Sc 0.0000 0.3887 0.2862
Sc2 Sc 0.0000 0.6113 0.7138
Sc3 Sc 0.0000 0.8887 0.2138
Sc4 Sc 0.0000 0.1113 0.7862
# Crystal system   orthorhombic
# Magnetic moment   0.00 μB/f.u.
# Formation energy   57 meV/atom
# Density   7.03 g/cm3

***

9.
# Tb2PmSc2 PBE relaxed
data_Tb2PmSc2
_chemical_formula_sum 'Tb4 Pm2 Sc4'
_cell_length_a 6.2294
_cell_length_b 6.2294
_cell_length_c 11.0234
_cell_angle_alpha 96.75
_cell_angle_beta 96.75
_cell_angle_gamma 125.72
_symmetry_space_group_name_H-M 'P 1'
_symmetry_Int_Tables_number 1
_symmetry_space_group_name_Hall 'P 1'
loop_
_atom_site_label
_atom_site_type_symbol
_atom_site_fract_x
_atom_site_fract_y
_atom_site_fract_z
Tb1 Tb 0.4154 0.5846 0.5000
Tb2 Tb 0.1654 0.8346 0.0000
Tb3 Tb 0.0846 0.9154 0.5000
Tb4 Tb 0.8346 0.1654 0.0000
Pm1 Pm 0.7500 0.2500 0.5000
Pm2 Pm 0.5000 0.5000 0.0000
Sc1 Sc 0.1250 0.3750 0.7500
Sc2 Sc 0.6250 0.3750 0.2500
Sc3 Sc 0.6250 0.3750 0.7500
Sc4 Sc 0.6250 0.8750 0.2500
# Crystal system   orthorhombic
# Magnetic moment   0.00 μB/f.u.
# Formation energy   530 meV/atom
# ΔE to the lowest computed polymorph   2.39 eV/f.u.
# Density   5.47 g/cm3

***

10.
# Tb2Pm2Sc3 PBE relaxed
data_Tb2Pm2Sc3
_chemical_formula_sum 'Tb4 Pm4 Sc6'
_cell_length_a 8.1351
_cell_length_b 8.1351
_cell_length_c 8.1351
_cell_angle_alpha 109.47
_cell_angle_beta 109.47
_cell_angle_gamma 109.47
_symmetry_space_group_name_H-M 'P 1'
_symmetry_Int_Tables_number 1
_symmetry_space_group_name_Hall 'P 1'
loop_
_atom_site_label
_atom_site_type_symbol
_atom_site_fract_x
_atom_site_fract_y
_atom_site_fract_z
Tb1 Tb 0.0000 0.0000 0.4303
Tb2 Tb 0.5000 0.4303 0.5000
Tb3 Tb 0.5697 0.0697 0.0697
Tb4 Tb 0.9303 0.5000 0.0000
Pm1 Pm 0.0000 0.0000 0.8280
Pm2 Pm 0.5000 0.8280 0.5000
Pm3 Pm 0.1720 0.6720 0.6720
Pm4 Pm 0.3280 0.5000 0.0000
Sc1 Sc 0.7088 0.7500 0.9588
Sc2 Sc 0.7912 0.2500 0.5412
Sc3 Sc 0.0412 0.2912 0.2500
Sc4 Sc 0.4588 0.2088 0.7500
Sc5 Sc 0.2500 0.9588 0.2088
Sc6 Sc 0.7500 0.5412 0.2912
# Crystal system   cubic
# Magnetic moment   0.00 μB/f.u.
# Formation energy   221 meV/atom
# ΔE to the lowest computed polymorph   0.40 eV/f.u.
# Density   5.95 g/cm3

***

11.
# Tb3Pm5Sc PBE relaxed
data_Tb3Pm5Sc
_chemical_formula_sum 'Tb6 Pm10 Sc2'
_cell_length_a 10.1087
_cell_length_b 10.1087
_cell_length_c 8.6628
_cell_angle_alpha 60.40
_cell_angle_beta 60.40
_cell_angle_gamma 71.78
_symmetry_space_group_name_H-M 'P 1'
_symmetry_Int_Tables_number 1
_symmetry_space_group_name_Hall 'P 1'
loop_
_atom_site_label
_atom_site_type_symbol
_atom_site_fract_x
_atom_site_fract_y
_atom_site_fract_z
Tb1 Tb 0.6298 0.6298 0.7941
Tb2 Tb 0.7259 0.7259 0.3350
Tb3 Tb 0.0000 0.0000 0.0000
Tb4 Tb 0.0000 0.0000 0.5000
Tb5 Tb 0.3702 0.3702 0.2059
Tb6 Tb 0.2741 0.2741 0.6650
Pm1 Pm 0.9212 0.4135 0.3914
Pm2 Pm 0.2566 0.7434 0.0000
Pm3 Pm 0.8035 0.8035 0.9178
Pm4 Pm 0.5437 0.5437 0.2681
Pm5 Pm 0.4563 0.4563 0.7319
Pm6 Pm 0.1965 0.1965 0.0822
Pm7 Pm 0.4135 0.9212 0.3914
Pm8 Pm 0.7434 0.2566 0.0000
Pm9 Pm 0.0788 0.5865 0.6086
Pm10 Pm 0.5865 0.0788 0.6086
Sc1 Sc 0.1460 0.1460 0.5604
Sc2 Sc 0.8540 0.8540 0.4396
# Crystal system   monoclinic
# Magnetic moment   0.00 μB/f.u.
# Formation energy   576 meV/atom
# Density   6.21 g/cm3

***

12.
# Tb8PmSc4 PBE relaxed
data_Tb8PmSc4
_chemical_formula_sum 'Tb8 Pm1 Sc4'
_cell_length_a 7.1057
_cell_length_b 7.1057
_cell_length_c 9.8353
_cell_angle_alpha 90.00
_cell_angle_beta 111.18
_cell_angle_gamma 120.00
_symmetry_space_group_name_H-M 'P 1'
_symmetry_Int_Tables_number 1
_symmetry_space_group_name_Hall 'P 1'
loop_
_atom_site_label
_atom_site_type_symbol
_atom_site_fract_x
_atom_site_fract_y
_atom_site_fract_z
Tb1 Tb 0.5644 0.7822 0.3466
Tb2 Tb 0.4356 0.2178 0.6534
Tb3 Tb 0.4952 0.2476 0.2901
Tb4 Tb 0.9576 0.2052 0.7099
Tb5 Tb 0.5048 0.7524 0.7099
Tb6 Tb 0.9576 0.7524 0.7099
Tb7 Tb 0.0424 0.2476 0.2901
Tb8 Tb 0.0424 0.7948 0.2901
Pm1 Pm 0.0000 0.5000 0.5000
Sc1 Sc 0.0000 0.0000 0.0000
Sc2 Sc 0.0000 0.5000 0.0000
Sc3 Sc 0.5000 0.5000 0.0000
Sc4 Sc 0.5000 0.0000 0.0000
# Crystal system   trigonal
# Magnetic moment   0.00 μB/f.u.
# Formation energy   239 meV/atom
# Density   6.78 g/cm3